{"formula": "AcTaGa", "functional": "PBE-GGA", "state": "optimized geometry", "magnetic_moment_mub_per_fu": 0.00, "dft_energy_ev_per_atom": -5.74, "cell": [[0.000, 3.439, 3.439], [3.439, 0.000, 3.439], [3.439, 3.439, 0.000]], "species": ["Ac", "Ta", "Ga"], "fractional_positions": [[0.000, 0.000, 0.000], [0.500, 0.500, 0.500], [0.250, 0.250, 0.250]]}